9
Lattice="5.017 0.000 0.000 0.000 6.734 0.000 -2.508 -3.367 7.497" Properties=species:S:1:pos:R:3 comment="GGA-PBE SrLiIn2Hg5, optimized geometry" ef_ev_per_atom=-0.17 volume_a3_per_atom=28.14 space_group="Immm (71)" total_energy_ev_per_cell=-12.1 pbc="T T T"
In 0.000 0.000 2.880
In 2.508 3.367 4.617
Hg 0.000 1.565 5.460
Hg 0.000 -1.565 5.460
Hg 2.508 1.802 2.037
Hg 0.000 0.000 0.000
Hg 2.508 4.932 2.037
Li 2.508 0.000 0.000
Sr 0.000 3.367 0.000